Below is a relaxed structure of K2ScFeO4, with properties calculated at the PBE with a Hubbard U level.

Cell lengths 11.819, 10.454, 6.708 Å; angles 84.03, 61.61, 34.37 degrees
Fractional positions:
K 0.059 0.059 0.691
K 0.309 0.309 0.941
K 0.691 0.691 0.059
K 0.941 0.941 0.309
Sc 0.125 0.125 0.125
Sc 0.875 0.875 0.875
Fe 0.375 0.375 0.375
Fe 0.625 0.625 0.625
O 0.000 0.338 0.427
O 0.000 0.662 0.573
O 0.266 0.573 0.662
O 0.338 0.000 0.734
O 0.427 0.734 0.000
O 0.573 0.266 0.000
O 0.662 0.000 0.266
O 0.734 0.427 0.338

Values from the calculation:
symmetry: Fddd, No. 70
calculated total energy: -49.07 eV per formula unit